The following is a DFT calculation (PBE) of a relaxed YMn2 crystal.

Cell lengths 4.1595, 4.1595, 13.3936 Å; angles 98.93, 98.93, 90.00 degrees
With the nearest neighbours (Å) after each atom.
Fractional positions:
Y1 0.0765 0.0765 0.1530  8 Mn 2.87-2.94
Y2 0.9235 0.9235 0.8470  8 Mn 2.87-2.94
Y3 0.3265 0.8265 0.6530  8 Mn 2.87-2.94
Y4 0.1735 0.6735 0.3470  8 Mn 2.87-2.94
Mn1 0.2494 0.2494 0.4989  8 Mn 2.78-2.94, 4 Y 2.87-2.89
Mn2 0.7506 0.7506 0.5011  8 Mn 2.78-2.94, 4 Y 2.87-2.89
Mn3 0.4994 0.9994 0.9989  8 Mn 2.78-2.94, 4 Y 2.87-2.89
Mn4 0.0006 0.5006 0.0011  8 Mn 2.78-2.94, 4 Y 2.87-2.89
Mn5 0.4287 0.4287 0.8574  4 Mn 2.78-2.80, 4 Y 2.94
Mn6 0.5713 0.5713 0.1426  4 Mn 2.78-2.80, 4 Y 2.94
Mn7 0.6787 0.1787 0.3574  4 Mn 2.78-2.80, 4 Y 2.94
Mn8 0.8213 0.3213 0.6426  4 Mn 2.78-2.80, 4 Y 2.94

uncorrected energy	-95.173	eV/cell
size of the total moment	6.13	μB per formula unit
space group	I4_1/amd, No. 141
energy of formation	337	meV per atom